The following is a GGA+U calculation of HfFeIrO6 after structural relaxation, from Alexandria.

Computed properties:
N(E_F) (states/eV/f.u.): 4.101
Magnetization (μB/atom): 0.330
Total energy (eV/atom): -7.75

Structure (CIF):
```
data_HfFeIrO6
_chemical_formula_sum 'Hf2 Fe2 Ir2 O12'
_cell_length_a 5.1479
_cell_length_b 5.1479
_cell_length_c 8.9600
_cell_angle_alpha 90.00
_cell_angle_beta 90.00
_cell_angle_gamma 120.00
_symmetry_space_group_name_H-M 'P -3 1 c'
_symmetry_Int_Tables_number 163
_symmetry_space_group_name_Hall '-P 3 2c'
loop_
_atom_site_label
_atom_site_type_symbol
_atom_site_fract_x
_atom_site_fract_y
_atom_site_fract_z
Hf1 Hf 0.3333 0.6667 0.2500
Fe1 Fe 0.0000 0.0000 0.0000
Ir1 Ir 0.3333 0.6667 0.7500
O1 O 0.0126 0.3412 0.6264
```